Compound: LaPr2DyHo2
Source: the Alexandria database
Functional: PBE
Structure: optimized geometry

**Energy of formation from the pure elements**: 0.062 eV per atom
**D(E_F)**: 18.149 states/eV/cell

Cell lengths 7.0949, 9.9651, 5.7248 Å; angles 90.00, 90.00, 90.00 degrees
With the nearest neighbours (Å) after each atom.
Positions (direct):
1 La 0.0000 0.0000 0.0000  2 Dy 3.55, 6 Pr 3.75-3.77, 6 Ho 3.75-3.77
2 La 0.5000 0.5000 0.5000  2 Dy 3.55, 6 Pr 3.75-3.77, 6 Ho 3.75-3.77
3 Pr 0.2467 0.3329 0.0000  5 Ho 3.31-3.57
4 Pr 0.2533 0.8329 0.5000  5 Ho 3.31-3.57
5 Pr 0.7467 0.1671 0.5000  5 Ho 3.31-3.57
6 Pr 0.7533 0.6671 0.0000  5 Ho 3.31-3.57
7 Dy 0.0000 0.5000 0.5000  2 La 3.55, 6 Pr 3.75-3.77, 6 Ho 3.75-3.77
8 Dy 0.5000 0.0000 0.0000  2 La 3.55, 6 Pr 3.75-3.77, 6 Ho 3.75-3.77
9 Ho 0.2500 0.1665 0.5000  5 Pr 3.31-3.57
10 Ho 0.2500 0.6665 0.0000  5 Pr 3.31-3.57
11 Ho 0.7500 0.3335 0.0000  5 Pr 3.31-3.57
12 Ho 0.7500 0.8335 0.5000  5 Pr 3.31-3.57

---

Compound: Ga2TcMoRh
Source: the Alexandria database
Functional: PBE
Structure: optimized geometry

**Energy of formation from the pure elements**: 1.069 eV per atom
**D(E_F)**: 5.173 states/eV/cell

Cell lengths 4.5618, 4.5618, 4.7936 Å; angles 90.00, 90.00, 90.00 degrees
With the nearest neighbours (Å) after each atom.
Positions (direct):
1 Ga 0.0000 0.5000 0.0000  2 Rh 2.28
2 Ga 0.5000 0.0000 0.0000  2 Rh 2.28
3 Tc 0.0000 0.0000 0.5000  4 Mo 3.23, 8 Ga 3.31
4 Mo 0.5000 0.5000 0.5000  2 Rh 2.40
5 Rh 0.5000 0.5000 0.0000  4 Ga 2.28, 2 Mo 2.40

---

Compound: LaTl2Co
Source: the Alexandria database
Functional: PBE
Structure: optimized geometry

**Energy of formation from the pure elements**: -0.024 eV per atom
**D(E_F)**: 2.056 states/eV/cell

Cell lengths 3.6989, 6.8982, 6.8982 Å; angles 34.94, 90.00, 90.00 degrees
With the nearest neighbours (Å) after each atom.
Positions (direct):
1 La 0.0000 0.0000 0.0000  4 Co 2.82
2 Tl 0.0000 0.7036 0.7036  2 Co 2.86
3 Tl 0.5000 0.3322 0.3322  1 Co 2.70
4 Co 0.5000 0.5373 0.5373  3 Tl 2.70-2.86, 4 La 2.82

---

Compound: RbU3Ni4S12
Source: the Alexandria database
Functional: PBE
Structure: optimized geometry

**Energy relative to the elements, uncorrected**: -0.682 eV/atom
**D(E_F)**: 22.381 states/eV/cell

Cell lengths 8.4791, 8.4791, 8.4791 Å; angles 105.62, 105.62, 105.62 degrees
With the nearest neighbours (Å) after each atom.
Positions (direct):
1 Rb 0.0000 0.0000 0.0000  6 S 3.57
2 U 0.0000 0.5639 0.4361  6 S 2.47-2.65
3 U 0.4361 0.0000 0.5639  6 S 2.47-2.65
4 U 0.5639 0.4361 0.0000  6 S 2.47-2.65
5 Ni 0.0603 0.5000 0.9397  3 S 2.10-2.12
6 Ni 0.5000 0.5000 0.5000  3 S 2.14
7 Ni 0.5000 0.9397 0.0603  3 S 2.10-2.12
8 Ni 0.9397 0.0603 0.5000  3 S 2.10-2.12
9 S 0.0444 0.6136 0.7479  1 Ni 2.10
10 S 0.0964 0.9036 0.5000  1 Ni 2.12
11 S 0.2521 0.3864 0.9556  1 Ni 2.10
12 S 0.3419 0.6581 0.5000  1 Ni 2.14
13 S 0.3864 0.9556 0.2521  1 Ni 2.10
14 S 0.5000 0.0964 0.9036  1 Ni 2.12
15 S 0.5000 0.3419 0.6581  1 Ni 2.14
16 S 0.6136 0.7479 0.0444  1 Ni 2.10
17 S 0.6581 0.5000 0.3419  1 Ni 2.14
18 S 0.7479 0.0444 0.6136  1 Ni 2.10
19 S 0.9036 0.5000 0.0964  1 Ni 2.12
20 S 0.9556 0.2521 0.3864  1 Ni 2.10

---

Compound: PmCdIrAu
Source: the Alexandria database
Functional: PBE
Structure: optimized geometry

**Energy of formation from the pure elements**: -0.360 eV per atom
**D(E_F)**: 2.559 states/eV/cell

Cell lengths 4.9128, 4.9128, 4.9128 Å; angles 60.00, 60.00, 60.00 degrees
With the nearest neighbours (Å) after each atom.
Positions (direct):
1 Pm 0.0000 0.0000 0.0000  4 Ir 3.01, 4 Au 3.01
2 Cd 0.5000 0.5000 0.5000  4 Ir 3.01, 4 Au 3.01
3 Ir 0.7500 0.7500 0.7500  4 Pm 3.01, 4 Cd 3.01
4 Au 0.2500 0.2500 0.2500  4 Cd 3.01, 4 Pm 3.01

---

Compound: Co2Pd2Pt
Source: the Alexandria database
Functional: PBE
Structure: optimized geometry

**Energy relative to the lowest polymorph listed for this composition**: 110 kJ/mol of formula units
**Energy of formation from the pure elements**: 0.213 eV per atom
**D(E_F)**: 16.844 states/eV/cell

Cell lengths 7.2462, 7.2462, 2.7345 Å; angles 90.00, 90.00, 90.00 degrees
With the nearest neighbours (Å) after each atom.
Positions (direct):
1 Co 0.1685 0.3315 0.0000  6 Pd 2.48-2.57, 2 Co 2.73
2 Co 0.3315 0.8315 0.0000  6 Pd 2.48-2.57, 2 Co 2.73
3 Co 0.6685 0.1685 0.0000  6 Pd 2.48-2.57, 2 Co 2.73
4 Co 0.8315 0.6685 0.0000  6 Pd 2.48-2.57, 2 Co 2.73
5 Pd 0.1301 0.6301 0.5000  6 Co 2.48-2.57, 3 Pd 2.67-2.73
6 Pd 0.3699 0.1301 0.5000  6 Co 2.48-2.57, 3 Pd 2.67-2.73
7 Pd 0.6301 0.8699 0.5000  6 Co 2.48-2.57, 3 Pd 2.67-2.73
8 Pd 0.8699 0.3699 0.5000  6 Co 2.48-2.57, 3 Pd 2.67-2.73
9 Pt 0.0000 0.0000 0.5000  2 Pt 2.73, 4 Pd 2.84, 8 Co 3.02
10 Pt 0.5000 0.5000 0.5000  2 Pt 2.73, 4 Pd 2.84, 8 Co 3.02

---

> Number 4 is which compound?

RbU3Ni4S12